Density functional theory data (GGA-PBE) for crystalline KTaSi2O7 at its relaxed geometry.

Calculated values
- ΔE_f (raw) (eV/atom) = -2.773
- calculated density (g/cm3) = 4.09

abc: 8.894 8.894 7.970
angles: 90.00 90.00 90.00
Fractional coordinates of all 44 atoms:
K 0.179 0.321 0.000
K 0.321 0.821 0.000
K 0.679 0.179 0.000
K 0.821 0.679 0.000
Ta 0.000 0.000 0.249
Ta 0.000 0.000 0.751
Ta 0.500 0.500 0.249
Ta 0.500 0.500 0.751
Si 0.122 0.622 0.299
Si 0.122 0.622 0.701
Si 0.378 0.122 0.299
Si 0.378 0.122 0.701
Si 0.622 0.878 0.299
Si 0.622 0.878 0.701
Si 0.878 0.378 0.299
Si 0.878 0.378 0.701
O 0.000 0.000 0.000
O 0.000 0.000 0.500
O 0.000 0.500 0.220
O 0.000 0.500 0.780
O 0.076 0.788 0.233
O 0.076 0.788 0.767
O 0.114 0.614 0.500
O 0.212 0.076 0.233
O 0.212 0.076 0.767
O 0.288 0.576 0.233
O 0.288 0.576 0.767
O 0.386 0.114 0.500
O 0.424 0.288 0.233
O 0.424 0.288 0.767
O 0.500 0.000 0.220
O 0.500 0.000 0.780
O 0.500 0.500 0.000
O 0.500 0.500 0.500
O 0.576 0.712 0.233
O 0.576 0.712 0.767
O 0.614 0.886 0.500
O 0.712 0.424 0.233
O 0.712 0.424 0.767
O 0.788 0.924 0.233
O 0.788 0.924 0.767
O 0.886 0.386 0.500
O 0.924 0.212 0.233
O 0.924 0.212 0.767